# 1
TlPbCl2 | PBE | relaxed

Geometry as POSCAR:
```
TlPbCl2
1.0
-1.826 2.398 7.148
1.826 -2.398 7.148
1.826 2.398 -7.148
Tl Pb Cl
1 1 2
Cartesian
0.000 0.000 0.000 Tl
0.000 2.398 4.056 Pb
1.826 0.000 4.675 Cl
0.000 0.000 8.804 Cl
```

The uncorrected formation energy comes out at -681 meV per atom. The energy above the lowest structure with this stoichiometry comes out at 0.515 eV/f.u. The calculation puts the size of the total moment at 0.00 μB/f.u.

=====

# 2
Sm3TcI3 | PBE | relaxed

Geometry as POSCAR:
```
Sm3TcI3
1.0
9.172 0.000 0.000
0.000 4.265 0.000
-0.730 0.000 12.546
Sm Tc I
6 2 6
Cartesian
0.621 1.066 3.925 Sm
0.722 1.066 10.886 Sm
2.299 3.198 1.263 Sm
6.144 1.066 11.283 Sm
7.721 3.198 1.660 Sm
7.822 3.198 8.622 Sm
0.323 1.066 0.978 Tc
8.120 3.198 11.568 Tc
0.858 1.066 7.597 I
2.883 3.198 4.486 I
3.349 3.198 10.881 I
5.094 1.066 1.665 I
5.560 1.066 8.060 I
7.585 3.198 4.949 I
```

The uncorrected formation energy comes out at -865 meV per atom. The calculation puts the size of the total moment at 0.00 μB/f.u.

=====

# 3
HoP2Ru2 | PBE | relaxed

Geometry as POSCAR:
```
HoP2Ru2
1.0
-2.026 2.026 4.769
2.026 -2.026 4.769
2.026 2.026 -4.769
Ho P Ru
1 2 2
Cartesian
0.000 0.000 0.000 Ho
0.000 0.000 3.582 P
0.000 0.000 5.956 P
2.026 0.000 2.384 Ru
0.000 2.026 2.384 Ru
```

The calculation puts the size of the total moment at 0.00 μB/f.u. For the electronic total energy, the calculation gives -0.2875 hartree per atom.

=====

# 4
RbPmIrO4 | PBE | relaxed

Geometry as POSCAR:
```
RbPmIrO4
1.0
-3.330 3.737 4.669
3.330 -3.737 4.669
3.330 3.737 -4.669
Rb Pm Ir O
2 2 2 8
Cartesian
0.000 1.869 1.378 Rb
3.330 1.869 3.290 Rb
3.330 0.000 0.000 Pm
0.000 0.000 4.669 Pm
1.665 1.869 -2.334 Ir
1.665 -1.869 2.334 Ir
3.330 -0.634 2.329 O
3.330 3.103 -2.329 O
1.905 1.869 -0.279 O
4.754 1.869 -0.279 O
-1.424 1.869 4.948 O
1.424 1.869 4.948 O
0.000 0.634 6.998 O
0.000 4.371 2.340 O
```

The uncorrected formation energy comes out at -1712 meV per atom. The calculation puts the size of the total moment at 0.75 μB/f.u.

=====

# 5
YHo3Au2 | PBE | relaxed

Geometry as POSCAR:
```
YHo3Au2
1.0
4.949 0.000 0.000
0.000 8.913 0.000
0.000 0.000 7.112
Y Ho Au
2 6 4
Cartesian
0.000 0.646 0.000 Y
0.000 8.267 3.556 Y
0.000 2.955 4.521 Ho
0.000 5.957 0.965 Ho
2.475 1.521 2.403 Ho
2.475 3.796 6.920 Ho
2.475 5.117 3.364 Ho
2.475 7.392 5.959 Ho
0.000 3.113 1.637 Au
0.000 5.800 5.193 Au
2.475 1.350 5.283 Au
2.475 7.563 1.727 Au
```

The energy above the lowest structure with this stoichiometry comes out at 0.000 eV/f.u. The calculation puts the size of the total moment at 0.00 μB/f.u.

=====

# 6
ZrTa2As | PBE | relaxed

Geometry as POSCAR:
```
ZrTa2As
1.0
4.760 -1.751 0.000
4.760 1.751 0.000
-1.695 0.000 4.463
Zr Ta As
1 2 1
Cartesian
0.000 0.000 0.000 Zr
1.021 0.000 3.325 Ta
3.899 0.000 2.133 Ta
6.714 0.000 1.257 As
```

The calculation puts the size of the total moment at 0.00 μB/f.u. For the electronic total energy, the calculation gives -0.3444 hartree per atom.